Entry 1:
InIrSe3 | PBE-GGA | relaxed

Output
D(E_F)   3.975 states/eV/cell
Formation energy from raw total energies   -32.6 kJ/mol of atoms
Relative energy among the computed polymorphs   37.8 meV per atom
DFT total energy   -47.5 eV per cell
Total moment   0.0 μB/f.u.

Lattice parameters (Å, degrees): 6.739 6.739 6.333 90.00 90.00 120.00
Positions (direct):
Se 0.001 0.692 0.773
Se 0.351 0.045 0.189
Ir 0.000 0.000 0.001
Se 0.694 0.649 0.189
Se 0.955 0.306 0.189
Ir 0.667 0.333 0.956
Se 0.308 0.309 0.773
In 0.667 0.333 0.506
Se 0.691 0.999 0.773
In 0.333 0.667 0.999



Entry 2:
InIrSe | PBE-GGA | relaxed

Output
D(E_F)   4.284 states/eV/cell
Formation energy from raw total energies   -9.7 kJ/mol of atoms
Relative energy among the computed polymorphs   111.1 meV per atom
DFT total energy   -61.5 eV per cell
Total moment   0.0 μB/f.u.

Lattice parameters (Å, degrees): 5.442 3.865 12.370 90.00 106.34 90.00
Positions (direct):
In 0.811 0.000 0.671
In 0.811 0.500 0.171
Ir 0.675 0.000 0.317
Ir 0.675 0.500 0.817
Se 0.763 0.500 0.444
In 0.189 0.500 0.829
Ir 0.325 0.000 0.683
In 0.189 0.000 0.329
Se 0.763 0.000 0.944
Ir 0.325 0.500 0.183
Se 0.237 0.500 0.556
Se 0.237 0.000 0.056



Entry 3:
InIrSe4 | PBE-GGA | relaxed

Output
D(E_F)   5.649 states/eV/cell
Formation energy from raw total energies   91.6 kJ/mol of atoms
DFT total energy   -19.8 eV per cell
Total moment   0.0 μB/f.u.

Lattice parameters (Å, degrees): 5.643 5.643 5.643 60.00 60.00 60.00
Positions (direct):
Se 0.373 0.373 0.881
Se 0.881 0.373 0.373
Se 0.373 0.881 0.373
Ir 0.000 0.000 0.000
Se 0.373 0.373 0.373
In 0.750 0.750 0.750



Entry 4:
InIrSe3 | PBE-GGA | relaxed

Output
D(E_F)   0.005 states/eV/cell
Formation energy from raw total energies   -28.5 kJ/mol of atoms
Relative energy among the computed polymorphs   80.1 meV per atom
DFT total energy   -47.1 eV per cell
Total moment   0.0 μB/f.u.

Lattice parameters (Å, degrees): 6.036 6.064 6.747 66.02 88.20 89.48
Positions (direct):
Se 0.303 0.935 0.829
Se 0.800 0.093 0.028
In 0.198 0.003 0.378
Se 0.051 0.592 0.032
Se 0.734 0.008 0.516
Ir 0.680 0.766 0.927
Ir 0.178 0.267 0.927
In 0.594 0.497 0.365
Se 0.560 0.437 0.827
Se 0.137 0.502 0.519



Entry 5:
InIrSe3 | PBE-GGA | relaxed

Output
D(E_F)   8.950 states/eV/cell
Formation energy from raw total energies   -35.1 kJ/mol of atoms
Relative energy among the computed polymorphs   11.6 meV per atom
DFT total energy   -95.5 eV per cell
Total moment   0.0 μB/f.u.

Lattice parameters (Å, degrees): 6.959 11.580 6.632 90.00 108.93 90.00
Positions (direct):
In 0.500 0.058 0.500
Se 0.203 0.405 0.713
Se 0.787 0.587 0.747
Se 0.213 0.587 0.253
Se 0.208 0.715 0.756
Se 0.203 0.905 0.213
In 0.000 0.912 0.500
Se 0.213 0.087 0.753
Se 0.797 0.405 0.287
In 0.000 0.412 0.000
Se 0.792 0.215 0.744
Ir 0.000 0.229 0.500
Ir 0.000 0.067 0.000
Ir 0.000 0.729 0.000
Se 0.787 0.087 0.247
In 0.500 0.558 0.000
Se 0.208 0.215 0.256
Ir 0.000 0.567 0.500
Se 0.792 0.715 0.244
Se 0.797 0.905 0.787



Entry 6:
InIr2Se2 | PBE-GGA | relaxed

Output
D(E_F)   8.177 states/eV/cell
Formation energy from raw total energies   34.4 kJ/mol of atoms
Relative energy among the computed polymorphs   60.5 meV per atom
DFT total energy   -51.3 eV per cell
Total moment   0.0 μB/f.u.

Lattice parameters (Å, degrees): 7.676 7.676 3.118 90.00 90.00 90.00
Positions (direct):
Ir 0.371 0.871 0.000
Se 0.149 0.649 0.500
In 0.000 0.000 0.000
Ir 0.129 0.371 0.000
In 0.500 0.500 0.000
Se 0.649 0.851 0.500
Ir 0.629 0.129 0.000
Ir 0.871 0.629 0.000
Se 0.351 0.149 0.500
Se 0.851 0.351 0.500



Entry 7:
InIrSe | PBE-GGA | relaxed

Output
D(E_F)   1.952 states/eV/cell
Formation energy from raw total energies   4.1 kJ/mol of atoms
Relative energy among the computed polymorphs   254.4 meV per atom
DFT total energy   -15.0 eV per cell
Total moment   0.0 μB/f.u.

Lattice parameters (Å, degrees): 4.455 4.455 4.455 60.00 60.00 60.00
Positions (direct):
In 0.500 0.500 0.500
Ir 0.750 0.750 0.750
Se 0.000 0.000 0.000



Entry 8:
InIrSe3 | PBE-GGA | relaxed

Output
D(E_F)   5.473 states/eV/cell
Formation energy from raw total energies   -20.0 kJ/mol of atoms
Relative energy among the computed polymorphs   168.1 meV per atom
DFT total energy   -46.2 eV per cell
Total moment   0.0 μB/f.u.

Lattice parameters (Å, degrees): 5.212 3.770 12.824 90.00 108.34 90.00
Positions (direct):
Se 0.386 0.000 0.868
Ir 0.911 0.500 0.398
Se 0.955 0.500 0.038
Se 0.815 0.000 0.267
Se 0.955 0.000 0.538
In 0.267 0.500 0.697
In 0.267 0.000 0.197
Ir 0.911 0.000 0.898
Se 0.386 0.500 0.368
Se 0.815 0.500 0.767



Entry 9:
InIrSe3 | PBE-GGA | relaxed

Output
D(E_F)   1.905 states/eV/cell
Formation energy from raw total energies   -26.9 kJ/mol of atoms
Relative energy among the computed polymorphs   97.3 meV per atom
DFT total energy   -46.9 eV per cell
Total moment   0.0 μB/f.u.

Lattice parameters (Å, degrees): 6.348 6.740 6.953 117.89 101.13 106.17
Positions (direct):
Se 0.404 0.794 0.418
Se 0.432 0.132 0.134
Se 0.894 0.592 0.640
Ir 0.157 0.698 0.035
Se 0.436 0.567 0.856
In 0.177 0.043 0.711
Se 0.885 0.833 0.228
In 0.982 0.270 0.278
Ir 0.467 0.501 0.498
Se 0.896 0.264 0.885



Entry 10:
InIrSe3 | PBE-GGA | relaxed

Output
Formation energy from raw total energies   -27.9 kJ/mol of atoms
Relative energy among the computed polymorphs   86.9 meV per atom
DFT total energy   -47.0 eV per cell
Total moment   0.0 μB/f.u.

Lattice parameters (Å, degrees): 4.934 3.856 12.640 90.00 106.52 90.00
Positions (direct):
Se 0.135 0.500 0.488
Se 0.629 0.500 0.371
In 0.715 0.500 0.148
Se 0.109 0.000 0.229
Ir 0.384 0.500 0.933
Se 0.629 0.000 0.871
In 0.715 0.000 0.648
Se 0.135 0.000 0.988
Ir 0.384 0.000 0.433
Se 0.109 0.500 0.729



Entry 11:
InIrSe3 | PBE-GGA | relaxed

Output
Formation energy from raw total energies   -31.6 kJ/mol of atoms
Relative energy among the computed polymorphs   48.7 meV per atom
DFT total energy   -142.1 eV per cell
Total moment   0.0 μB/f.u.

Lattice parameters (Å, degrees): 6.837 6.837 16.695 90.00 90.00 120.00
Positions (direct):
Se 0.390 0.048 0.491
In 0.333 0.667 0.095
Se 0.724 0.715 0.157
Se 0.324 0.943 0.824
Se 0.652 0.015 0.313
Se 0.991 0.276 0.157
Se 0.057 0.381 0.824
Ir 0.667 0.333 0.594
In 0.333 0.667 0.404
Ir 0.333 0.667 0.928
Se 0.319 0.349 0.646
Se 0.318 0.303 0.980
Se 0.285 0.009 0.157
Ir 0.667 0.333 0.394
Ir 0.000 0.000 0.061
In 0.000 0.000 0.737
Se 0.619 0.676 0.824
In 0.667 0.333 0.762
Se 0.658 0.610 0.491
Se 0.363 0.348 0.313
Ir 0.000 0.000 0.261
In 0.000 0.000 0.429
Se 0.985 0.682 0.980
Ir 0.333 0.667 0.727
Se 0.030 0.681 0.646
In 0.667 0.333 0.070
Se 0.697 0.015 0.980
Se 0.952 0.342 0.491
Se 0.651 0.970 0.646
Se 0.985 0.637 0.313



Entry 12:
InIrSe | PBE-GGA | relaxed

Output
D(E_F)   3.438 states/eV/cell
Formation energy from raw total energies   18.8 kJ/mol of atoms
Relative energy among the computed polymorphs   406.4 meV per atom
DFT total energy   -14.5 eV per cell
Total moment   0.0 μB/f.u.

Lattice parameters (Å, degrees): 6.839 6.840 3.235 76.32 76.32 27.36
Positions (direct):
Se 0.721 0.721 0.279
Ir 0.303 0.303 0.697
In 0.976 0.976 0.024



Entry 13:
InIrSe | PBE-GGA | relaxed

Output
D(E_F)   5.164 states/eV/cell
Formation energy from raw total energies   -14.6 kJ/mol of atoms
Relative energy among the computed polymorphs   60.4 meV per atom
DFT total energy   -62.1 eV per cell
Total moment   0.0 μB/f.u.

Lattice parameters (Å, degrees): 6.633 3.840 11.050 90.00 98.84 90.00
Positions (direct):
Ir 0.000 0.500 0.000
Ir 0.500 0.000 0.000
Se 0.196 0.000 0.105
Se 0.804 0.000 0.895
In 0.695 0.500 0.143
In 0.305 0.500 0.857
Ir 0.500 0.500 0.500
In 0.305 0.000 0.357
Se 0.804 0.500 0.395
Se 0.196 0.500 0.605
In 0.695 0.000 0.643
Ir 0.000 0.000 0.500



Entry 14:
InIrSe | PBE-GGA | relaxed

Output
D(E_F)   3.509 states/eV/cell
Formation energy from raw total energies   -20.4 kJ/mol of atoms
Relative energy among the computed polymorphs   0.0 meV per atom
DFT total energy   -62.9 eV per cell
Total moment   0.0 μB/f.u.

Lattice parameters (Å, degrees): 7.732 5.684 5.727 90.00 90.00 90.00
Positions (direct):
In 0.750 0.750 0.750
Se 0.500 0.750 0.344
In 0.250 0.250 0.250
Se 0.000 0.750 0.156
Se 0.000 0.250 0.844
In 0.750 0.250 0.250
Ir 0.500 0.000 0.000
Ir 0.000 0.500 0.500
Ir 0.000 0.000 0.500
Ir 0.500 0.500 0.000
Se 0.500 0.250 0.656
In 0.250 0.750 0.750



Entry 15:
InIrSe | PBE-GGA | relaxed

Output
D(E_F)   1.320 states/eV/cell
Formation energy from raw total energies   -13.5 kJ/mol of atoms
Relative energy among the computed polymorphs   71.2 meV per atom
DFT total energy   -31.0 eV per cell
Total moment   0.0 μB/f.u.

Lattice parameters (Å, degrees): 3.820 5.765 6.542 99.34 95.88 104.51
Positions (direct):
Se 0.004 0.396 0.220
Ir 0.500 0.500 0.000
Ir 0.000 0.000 0.000
Se 0.996 0.604 0.780
In 0.482 0.084 0.717
In 0.518 0.916 0.283



Entry 16:
InIrSe3 | PBE-GGA | relaxed

Output
D(E_F)   1.976 states/eV/cell
Formation energy from raw total energies   -23.6 kJ/mol of atoms
Relative energy among the computed polymorphs   131.5 meV per atom
DFT total energy   -46.5 eV per cell
Total moment   0.0 μB/f.u.

Lattice parameters (Å, degrees): 6.304 6.461 6.660 105.69 106.87 105.69
Positions (direct):
In 0.429 0.003 0.308
Se 0.846 0.023 0.181
Ir 0.862 0.362 0.031
Ir 0.139 0.061 0.532
Se 0.968 0.623 0.440
Se 0.303 0.513 0.149
Se 0.421 0.185 0.921
Se 0.826 0.660 0.875
In 0.348 0.495 0.573
Se 0.808 0.063 0.671



Entry 17:
InIrSe3 | PBE-GGA | relaxed

Output
D(E_F)   4.423 states/eV/cell
Formation energy from raw total energies   -24.6 kJ/mol of atoms
Relative energy among the computed polymorphs   121.4 meV per atom
DFT total energy   -46.7 eV per cell
Total moment   0.0 μB/f.u.

Lattice parameters (Å, degrees): 6.532 6.715 6.895 63.56 66.15 63.02
Positions (direct):
In 0.816 0.517 0.291
Se 0.903 0.283 0.795
Se 0.425 0.380 0.599
Se 0.158 0.084 0.207
Se 0.651 0.973 0.329
Ir 0.547 0.166 0.961
Ir 0.221 0.223 0.470
Se 0.729 0.786 0.881
In 0.171 0.791 0.695
Se 0.341 0.528 0.090



Entry 18:
InIrSe | PBE-GGA | relaxed

Output
D(E_F)   2.415 states/eV/cell
Formation energy from raw total energies   -17.7 kJ/mol of atoms
Relative energy among the computed polymorphs   27.9 meV per atom
DFT total energy   -31.3 eV per cell
Total moment   0.0 μB/f.u.

Lattice parameters (Å, degrees): 3.947 5.784 5.731 90.00 97.56 90.00
Positions (direct):
Ir 0.000 0.500 0.000
Ir 0.000 0.000 0.000
In 0.464 0.250 0.772
Se 0.023 0.250 0.344
Se 0.977 0.750 0.656
In 0.536 0.750 0.228



Entry 19:
InIrSe | PBE-GGA | relaxed

Output
D(E_F)   2.483 states/eV/cell
Formation energy from raw total energies   3.8 kJ/mol of atoms
Relative energy among the computed polymorphs   250.6 meV per atom
DFT total energy   -29.9 eV per cell
Total moment   0.0 μB/f.u.

Lattice parameters (Å, degrees): 3.027 7.880 6.729 114.60 90.10 67.37
Positions (direct):
In 0.889 0.180 0.080
Ir 0.674 0.393 0.818
Se 0.418 0.148 0.529
Ir 0.145 0.922 0.618
In 0.909 0.658 0.710
Se 0.339 0.726 0.169



Entry 20:
InIrSe3 | PBE-GGA | relaxed

Output
D(E_F)   8.748 states/eV/cell
Formation energy from raw total energies   -36.3 kJ/mol of atoms
Relative energy among the computed polymorphs   0.0 meV per atom
DFT total energy   -143.6 eV per cell
Total moment   0.0 μB/f.u.

Lattice parameters (Å, degrees): 6.663 6.663 20.316 90.00 90.00 120.00
Positions (direct):
Se 0.314 0.295 0.601
Se 0.353 0.038 0.733
Ir 0.333 0.667 0.992
Se 0.352 0.980 0.066
Se 0.295 0.981 0.399
Se 0.038 0.685 0.267
Se 0.686 0.705 0.399
Se 0.980 0.628 0.934
Se 0.315 0.353 0.267
Se 0.372 0.352 0.934
Se 0.020 0.372 0.066
In 0.667 0.333 0.833
Se 0.648 0.020 0.934
Se 0.685 0.647 0.733
Ir 0.000 0.000 0.674
In 0.000 0.000 0.500
In 0.000 0.000 0.000
Se 0.019 0.314 0.399
Ir 0.000 0.000 0.326
Ir 0.667 0.333 0.008
In 0.333 0.667 0.167
In 0.667 0.333 0.333
Se 0.628 0.648 0.066
Se 0.962 0.315 0.733
Ir 0.333 0.667 0.341
In 0.333 0.667 0.667
Se 0.647 0.962 0.267
Se 0.705 0.019 0.601
Ir 0.667 0.333 0.659
Se 0.981 0.686 0.601